No. 1
## TaZn2In (PBE)

Data for TaZn2In after structural relaxation.

```
TaZn2In
1.0
-0.123 2.790 0.877
-4.077 0.775 -3.038
-5.376 -0.765 1.681
Ta Zn In
1 2 1
direct
0.000 0.000 0.500
0.500 0.500 0.000
0.000 0.000 0.000
0.500 0.500 0.500
```

Computed properties:
Fermi-level density of states ... 0.336 states/eV per atom
ΔH_f (0 K) ... 120 meV/atom
DFT total energy ... -0.306 Ry per atom
Crystal system ... monoclinic


No. 2
## Nd2HoRh (PBE)

Data for Nd2HoRh after structural relaxation.

```
Nd2HoRh
1.0
-4.713 -4.179 0.792
0.410 -1.795 -7.033
6.642 -7.075 2.193
Nd Rh Ho
8 4 4
direct
0.830 0.322 0.566
0.170 0.678 0.434
0.670 0.822 0.934
0.170 0.678 0.066
0.330 0.178 0.434
0.330 0.178 0.066
0.670 0.822 0.566
0.830 0.322 0.934
0.947 0.623 0.750
0.447 0.877 0.250
0.053 0.377 0.250
0.553 0.123 0.750
0.349 0.462 0.750
0.849 0.038 0.250
0.151 0.962 0.750
0.651 0.538 0.250
```

Computed properties:
Fermi-level density of states ... 1.100 states/eV per atom
Relative energy among the computed polymorphs ... 0 meV/atom
ΔH_f (0 K) ... -452 meV/atom
DFT total energy ... -0.428 Ry per atom
Crystal system ... orthorhombic


No. 3
## CsMnI2Cl (PBE)

Data for CsMnI2Cl after structural relaxation.

```
CsMnI2Cl
1.0
7.739 0.000 0.000
0.000 7.739 0.000
-3.869 -3.869 6.629
Cl I Mn Cs
2 4 2 2
direct
0.723 0.723 0.446
0.223 0.223 0.446
0.191 0.294 0.985
0.691 0.191 0.985
0.794 0.691 0.985
0.294 0.794 0.985
0.548 0.548 0.095
0.048 0.048 0.095
0.245 0.745 0.490
0.745 0.245 0.490
```

Computed properties:
Relative energy among the computed polymorphs ... 0 meV/atom
Uncorrected formation energy ... -1050 meV/atom
DFT total energy ... -0.297 Ry per atom
Crystal system ... tetragonal


No. 4
## Er2TmOs (PBE)

Data for Er2TmOs after structural relaxation.

```
Er2TmOs
1.0
6.245 0.000 0.000
0.000 7.346 0.000
0.000 0.000 8.940
Tm Os Er
4 4 8
direct
0.628 0.539 0.250
0.872 0.039 0.250
0.128 0.961 0.750
0.372 0.461 0.750
0.537 0.118 0.750
0.963 0.618 0.750
0.037 0.382 0.250
0.463 0.882 0.250
0.668 0.825 0.938
0.832 0.325 0.938
0.168 0.675 0.438
0.332 0.175 0.062
0.168 0.675 0.062
0.332 0.175 0.438
0.668 0.825 0.562
0.832 0.325 0.562
```

Computed properties:
Fermi-level density of states ... 0.703 states/eV per atom
Relative energy among the computed polymorphs ... 0 meV/atom
ΔH_f (0 K) ... -301 meV/atom
DFT total energy ... -0.478 Ry per atom
Crystal system ... orthorhombic


No. 5
## Nd5Y2Cd (PBE)

Data for Nd5Y2Cd after structural relaxation.

```
Nd5Y2Cd
1.0
7.181 -0.003 0.001
-0.003 7.181 0.000
-3.588 -3.589 5.020
Y Nd Cd
2 5 1
direct
0.222 0.722 0.444
0.722 0.222 0.444
0.722 0.222 0.944
0.222 0.222 0.944
0.222 0.722 0.944
0.722 0.722 0.445
0.722 0.722 0.944
0.222 0.222 0.444
```

Computed properties:
Fermi-level density of states ... 1.034 states/eV per atom
ΔH_f (0 K) ... -30 meV/atom
DFT total energy ... -0.348 Ry per atom
Crystal system ... tetragonal


No. 6
## TbCdInGa (PBE)

Data for TbCdInGa after structural relaxation.

```
TbCdInGa
1.0
-1.824 0.756 -4.693
-4.657 -1.658 -1.219
-3.772 3.335 -0.759
Tb Cd In Ga
1 1 1 1
direct
0.000 0.000 0.000
0.750 0.750 0.750
0.500 0.500 0.500
0.250 0.250 0.250
```

Computed properties:
Fermi-level density of states ... 0.878 states/eV per atom
Relative energy among the computed polymorphs ... 196 meV/atom
ΔH_f (0 K) ... -210 meV/atom
DFT total energy ... -0.223 Ry per atom
Crystal system ... cubic